(A)
Density functional theory data (GGA-PBEsol) for an optimized crystal structure of Li2MnP2O8.

Calculated values
SG: Pbca, No. 61

Structure (extended XYZ):
```
104
Lattice="8.818 0.000 0.000 0.000 8.949 0.000 0.000 0.000 13.044" Properties=species:S:1:pos:R:3 pbc="T T T"
Li 1.877 0.412 4.885
Li 2.532 0.412 11.407
Li 8.420 2.040 4.877
Li 4.808 2.040 11.399
Li 0.399 2.434 11.399
Li 4.010 2.434 4.877
Li 6.286 4.062 4.885
Li 6.941 4.062 11.407
Li 1.877 4.886 1.637
Li 2.532 4.886 8.159
Li 4.808 6.515 8.167
Li 8.420 6.515 1.645
Li 0.399 6.908 8.167
Li 4.010 6.908 1.645
Li 6.941 8.537 8.159
Li 6.286 8.537 1.637
Mn 0.939 1.258 1.620
Mn 3.471 1.258 8.142
Mn 7.880 3.216 8.142
Mn 5.348 3.216 1.620
Mn 0.939 5.733 4.902
Mn 3.471 5.733 11.424
Mn 5.348 7.690 4.902
Mn 7.880 7.690 11.424
P 0.570 0.653 9.367
P 3.839 0.653 2.845
P 7.174 1.404 12.904
P 6.053 1.404 6.382
P 1.644 3.070 6.382
P 2.765 3.070 12.904
P 4.979 3.821 9.367
P 8.248 3.821 2.845
P 3.839 5.127 3.677
P 0.570 5.127 10.200
P 6.053 5.879 0.140
P 7.174 5.879 6.662
P 1.644 7.544 0.140
P 2.765 7.544 6.662
P 4.979 8.295 10.200
P 8.248 8.295 3.677
O 6.203 8.814 6.194
O 7.024 8.814 12.717
O 8.804 0.212 4.763
O 4.424 0.212 11.285
O 4.180 0.161 4.314
O 0.229 0.161 10.836
O 2.272 0.715 2.886
O 2.138 0.715 9.408
O 6.368 1.707 1.161
O 6.860 1.707 7.683
O 8.653 1.775 0.182
O 4.575 1.775 6.704
O 0.008 2.115 9.365
O 4.401 2.115 2.843
O 6.475 2.177 5.165
O 6.752 2.177 11.687
O 2.066 2.297 5.165
O 2.343 2.297 11.687
O 8.811 2.360 2.843
O 4.417 2.360 9.365
O 0.166 2.699 6.704
O 4.243 2.699 0.182
O 1.959 2.767 1.161
O 2.450 2.767 7.683
O 6.547 3.759 9.408
O 6.681 3.759 2.886
O 4.638 4.313 10.836
O 8.590 4.313 4.314
O 4.395 4.262 4.763
O 0.015 4.262 11.285
O 1.794 4.609 6.194
O 2.615 4.609 12.717
O 6.203 4.340 0.328
O 7.024 4.340 6.850
O 4.424 4.686 8.281
O 8.804 4.686 1.759
O 4.180 4.635 2.208
O 0.229 4.635 8.730
O 2.138 5.189 10.158
O 2.272 5.189 3.636
O 6.368 6.181 5.361
O 6.860 6.181 11.883
O 4.575 6.249 12.862
O 8.653 6.249 6.340
O 0.008 6.589 10.201
O 4.401 6.589 3.679
O 6.475 6.651 1.357
O 6.752 6.651 7.879
O 2.066 6.772 1.357
O 2.343 6.772 7.879
O 4.417 6.834 10.201
O 8.811 6.834 3.679
O 0.166 7.174 12.862
O 4.243 7.174 6.340
O 1.959 7.242 5.361
O 2.450 7.242 11.883
O 6.547 8.234 10.158
O 6.681 8.234 3.636
O 4.638 8.788 8.730
O 8.590 8.788 2.208
O 0.015 8.737 8.281
O 4.395 8.737 1.759
O 1.794 0.135 0.328
O 2.615 0.135 6.850
```

(B)
Density functional theory data (GGA-PBEsol) for an optimized crystal structure of Li2MnP2O8.

Calculated values
SG: P-1, No. 2

Structure (extended XYZ):
```
13
Lattice="-0.458 -1.830 -4.159 3.663 -2.866 -1.562 -3.607 -5.625 1.794" Properties=species:S:1:pos:R:3 pbc="T T T"
Li -0.460 -8.329 -2.681
Li 0.058 -1.991 -1.246
Mn -0.201 -5.160 -1.963
P 1.635 -5.672 -4.537
P -2.037 -4.648 0.611
O 2.417 -4.403 -4.345
O -2.819 -5.917 0.419
O 0.729 -5.964 -3.317
O -1.132 -4.356 -0.610
O 0.627 -6.324 -0.719
O -1.030 -3.996 -3.208
O 1.158 -3.785 -1.636
O -1.560 -6.536 -2.291
```

Most stable of them? (A).

(A)
Density functional theory data (GGA-PBEsol) for an optimized crystal structure of LiMnP4O12.

Calculated values
SG: C2/c, No. 15

Structure (extended XYZ):
```
36
Lattice="8.186 0.000 0.000 4.093 7.777 -0.214 4.093 1.688 7.459" Properties=species:S:1:pos:R:3 pbc="T T T"
Li 6.227 3.210 5.540
Li 10.145 6.255 1.704
Mn 9.744 3.210 5.540
Mn 6.629 6.255 1.704
P 9.762 8.187 6.421
P 12.760 8.133 6.094
P 8.667 6.065 4.772
P 5.669 6.010 4.445
P 10.704 3.455 2.799
P 7.705 3.400 2.472
P 3.612 1.333 1.150
P 6.611 1.278 0.823
O 13.711 7.779 7.157
O 11.280 7.609 6.451
O 5.418 1.456 5.640
O 8.956 6.829 6.157
O 10.998 2.675 6.795
O 13.049 7.369 4.709
O 5.418 4.964 5.441
O 8.502 4.597 5.202
O 8.502 1.824 5.879
O 7.187 6.589 4.415
O 9.618 6.419 3.710
O 10.998 3.745 4.286
O 5.374 5.720 2.958
O 6.755 3.046 3.534
O 9.186 2.877 2.829
O 7.870 7.641 1.366
O 7.870 4.868 2.042
O 10.955 4.501 1.803
O 3.323 2.096 2.535
O 5.374 6.790 0.449
O 7.416 2.636 1.087
O 10.955 8.009 1.604
O 5.093 1.856 0.793
O 2.661 1.686 0.088
```

(B)
Density functional theory data (GGA-PBEsol) for an optimized crystal structure of LiMnP4O12.

Calculated values
SG: P2_1, No. 4

Structure (extended XYZ):
```
36
Lattice="-2.854 -2.358 -3.623 6.565 -2.474 -1.566 -1.908 -10.223 8.155" Properties=species:S:1:pos:R:3 pbc="T T T"
Li -1.938 -6.359 1.227
Li 2.975 -12.799 5.012
Mn 0.768 -4.993 -0.092
Mn 0.922 -10.666 3.540
P -0.442 -7.829 -0.953
P -0.620 -4.607 -3.109
P 1.601 -10.673 6.669
P 2.875 -8.021 4.139
P 2.281 -7.219 -1.794
P 2.827 -11.060 1.078
P -0.707 -2.294 0.531
P -0.722 -9.142 5.801
O 5.220 -4.269 0.348
O 3.716 -5.623 1.767
O -3.261 -9.950 1.951
O -2.375 -11.907 3.173
O 1.550 -10.674 0.160
O 3.363 -8.172 -1.501
O -0.119 -8.810 0.266
O -0.484 -6.461 -0.265
O -0.166 -10.529 2.009
O 0.248 -4.129 -2.003
O -0.052 -12.655 3.831
O 2.131 -6.031 -0.868
O 2.335 -11.417 2.480
O -2.672 -7.583 2.452
O 5.095 -4.150 -2.136
O -0.565 -3.813 0.626
O -0.477 -9.826 4.473
O 1.206 -5.880 1.910
O 1.954 -8.788 3.264
O 2.114 -3.747 0.335
O 1.824 -11.071 5.206
O 2.764 -1.735 -0.898
O -2.024 -9.368 6.449
O 0.767 -1.628 0.609
```

Most stable of them? (B).

(A)
Density functional theory data (GGA-PBEsol) for an optimized crystal structure of LiMn2P2O10.

Calculated values
SG: P1, No. 1
DOS(E_F) (states/eV per cell): 5.4

Structure (extended XYZ):
```
30
Lattice="6.600 -0.036 -0.009 3.053 6.042 -0.026 0.130 -0.076 7.820" Properties=species:S:1:pos:R:3 pbc="T T T"
Li 3.867 4.656 7.288
Li 7.101 4.671 3.374
Mn 1.681 -0.014 1.956
Mn 3.221 2.972 1.954
Mn 6.585 2.916 5.860
Mn 5.045 -0.069 5.861
P 2.417 1.376 7.129
P 4.138 4.523 4.548
P 5.652 1.396 3.214
P 7.373 4.544 0.633
O 1.318 0.633 0.212
O 1.618 2.049 5.999
O 2.319 1.531 2.489
O 3.065 2.520 0.110
O 3.277 3.534 3.743
O 3.260 5.531 5.321
O 3.341 0.349 6.450
O 4.088 4.442 1.370
O 4.683 0.577 4.116
O 4.891 3.833 5.715
O 4.854 2.069 2.084
O 5.163 5.234 3.631
O 5.683 1.475 6.394
O 6.495 5.551 1.407
O 6.576 0.369 2.536
O 6.429 2.465 4.015
O 6.642 3.478 7.648
O 7.453 4.386 5.276
O 8.126 3.853 1.800
O 8.527 5.179 7.536
```

(B)
Density functional theory data (GGA-PBEsol) for an optimized crystal structure of LiMn2P2O10.

Calculated values
SG: P2_1, No. 4
DOS(E_F) (states/eV per cell): 10.3

Structure (extended XYZ):
```
30
Lattice="-3.884 -2.291 -1.797 4.795 -4.709 1.410 -3.730 -1.002 9.337" Properties=species:S:1:pos:R:3 pbc="T T T"
Li -1.700 -3.434 5.527
Li -0.010 -4.271 0.645
Mn 2.758 -5.280 1.261
Mn -4.208 -2.354 4.260
Mn -2.947 -4.452 3.040
Mn -1.210 -3.910 9.259
P -2.470 -6.572 5.440
P -3.688 -3.234 7.466
P 0.380 -1.235 1.684
P 0.128 -4.968 3.337
O 1.259 -4.814 2.321
O 3.294 -3.577 1.412
O 0.144 -6.350 4.015
O 1.267 -5.422 6.227
O -1.188 -6.733 6.274
O -4.263 -2.002 8.189
O -1.134 -1.136 1.430
O -3.806 -3.115 5.947
O -2.791 -2.233 -0.519
O -2.536 -2.851 3.688
O -4.576 -4.013 3.689
O -4.354 -4.515 8.006
O -3.253 -3.824 1.359
O -2.146 -3.312 7.677
O 0.918 -2.438 0.851
O -1.143 -4.817 2.449
O 0.151 -3.859 4.409
O -2.381 -5.200 4.704
O -1.835 -5.568 9.144
O 0.205 -4.240 8.163
```

Most stable of them? (A).

(A)
Density functional theory data (GGA-PBEsol) for an optimized crystal structure of LiMn2P3O12.

Calculated values
SG: C2/c, No. 15

Structure (extended XYZ):
```
36
Lattice="-1.296 -2.903 -5.220 -0.810 -5.741 6.055 -7.107 3.798 2.314" Properties=species:S:1:pos:R:3 pbc="T T T"
Li -4.606 -2.423 1.575
Li -3.959 -0.972 4.185
Mn -1.552 -3.813 -0.885
Mn -2.931 0.710 0.520
Mn -6.281 -5.556 2.629
Mn -7.661 -1.033 4.034
P -5.688 0.433 2.044
P -7.601 -3.021 1.381
P -5.745 -3.400 4.708
P -3.468 -1.446 -1.559
P -3.524 -5.279 1.105
P -1.612 -1.825 1.769
O -7.538 -0.271 5.666
O -8.044 -1.745 2.259
O -6.871 0.372 1.043
O -5.430 1.893 2.496
O -1.675 -4.575 -2.516
O -1.169 -3.101 0.890
O -2.341 -5.218 2.106
O -3.783 -6.739 0.653
O -2.124 -2.225 -1.640
O -3.245 -4.402 -0.159
O -1.625 -0.547 0.882
O -2.911 -2.087 2.423
O -4.041 -1.182 -3.042
O -4.790 -4.660 1.782
O -3.088 -0.001 -1.131
O -4.486 -2.135 -0.738
O -4.727 -2.711 3.887
O -6.124 -4.846 4.281
O -4.422 -0.186 1.367
O -5.171 -3.664 6.191
O -6.301 -2.759 0.726
O -7.587 -4.299 2.267
O -5.967 -0.445 3.308
O -7.089 -2.621 4.789
```

(B)
Density functional theory data (GGA-PBEsol) for an optimized crystal structure of LiMn2P3O12.

Calculated values
SG: Pc, No. 7

Structure (extended XYZ):
```
72
Lattice="-5.848 -2.498 5.033 3.776 -7.463 0.684 6.084 3.900 8.969" Properties=species:S:1:pos:R:3 pbc="T T T"
Li 3.780 -6.211 10.177
Li 0.278 -5.500 5.078
Li 0.190 -0.050 2.548
Li 5.133 -0.105 6.845
Mn -2.838 -3.074 4.927
Mn 0.689 -5.757 7.799
Mn 0.448 -1.572 9.471
Mn 3.913 -4.224 12.242
Mn 1.972 -5.518 2.767
Mn 1.708 -0.801 4.863
Mn 5.232 -4.033 7.275
Mn 4.973 0.767 9.462
P 4.666 -1.939 4.896
P 6.946 -1.699 8.629
P 1.622 -2.468 2.086
P 2.154 0.555 7.840
P 3.177 -6.008 5.752
P 1.081 -8.601 3.114
P 4.760 -1.190 11.892
P 2.731 -3.726 9.267
P -2.575 -0.441 9.432
P -1.039 -8.124 6.375
P -0.049 -2.864 6.475
P 0.554 0.110 12.257
O 1.661 -4.834 9.052
O 6.798 -4.686 6.430
O 2.796 0.610 4.371
O 3.833 -5.667 2.552
O 5.319 -2.539 6.159
O 2.189 -3.683 2.828
O 7.693 -1.587 9.957
O 1.633 -1.242 3.031
O -3.416 -4.636 5.864
O -0.901 -5.129 8.590
O -0.667 -2.971 9.998
O 2.083 -4.191 12.483
O 0.561 -7.228 8.887
O -4.023 -1.974 5.900
O -1.827 -8.180 5.074
O 0.418 -1.116 11.316
O 3.781 -6.137 12.152
O -1.037 -0.396 9.220
O -0.222 -6.811 6.410
O 2.037 0.378 12.558
O -1.574 -2.767 6.307
O 5.572 2.305 8.484
O 3.849 -2.377 12.227
O 2.042 -2.458 9.781
O 0.388 -2.138 7.746
O 0.483 -4.330 6.542
O 3.649 -4.293 10.376
O -1.509 -4.035 4.035
O -2.367 -1.563 3.884
O 2.348 -6.314 7.013
O 1.452 -0.028 9.100
O 5.725 -4.245 11.881
O 0.150 -5.521 3.166
O 0.628 -2.249 5.240
O 3.569 -3.451 8.016
O 4.471 -0.756 10.450
O 3.639 1.678 10.332
O 2.184 -5.540 4.656
O 5.335 -5.480 8.482
O 1.736 -0.232 6.606
O 0.105 0.194 4.506
O 2.048 -7.428 2.798
O 4.251 -4.934 5.979
O 3.689 0.450 8.006
O 0.114 -2.711 1.792
O 6.128 -3.000 8.589
O 3.149 -1.928 5.121
O 6.084 -0.410 8.444
```

Most stable of them? (B).